No. 1
## Ta2TlSb (PBE)

Data for a relaxed Ta2TlSb crystal.

a b c (Å): 3.3139 3.3139 7.4791
angles (deg): 90.00 90.00 90.00
Atoms (fractional coordinates):
Ta: 0.0000 0.0000 0.5298
Ta: 0.0000 0.0000 0.9702
Sb: 0.5000 0.5000 0.7500
Tl: 0.5000 0.5000 0.2500

## Properties
As for the volume: 82.1 Å³ per cell. The calculation puts the excess energy over the best structure of this formula in the dataset at 206 meV per atom. Its symmetry is P4/mmm (123). The value obtained for the total DFT energy (no corrections) is -28.5 eV/cell.


No. 2
## Sc8SnSe6 (PBE)

Data for a relaxed Sc8SnSe6 crystal.

a b c (Å): 3.7804 10.0492 10.0492
angles (deg): 120.00 90.00 90.00
Atoms (fractional coordinates):
Sn: 0.5000 0.0000 0.0000
Sc: 0.2534 0.6667 0.3333
Sc: 0.2532 0.0319 0.7214
Sc: 0.2532 0.6895 0.9681
Sc: 0.7466 0.3333 0.6667
Sc: 0.7468 0.7214 0.6895
Sc: 0.7468 0.9681 0.2786
Sc: 0.7468 0.3105 0.0319
Sc: 0.2532 0.2786 0.3105
Se: 0.2494 0.1315 0.4745
Se: 0.2494 0.5255 0.6570
Se: 0.2494 0.3430 0.8685
Se: 0.7506 0.8685 0.5255
Se: 0.7506 0.4745 0.3430
Se: 0.7506 0.6570 0.1315

## Properties
As for the volume: 330.6 Å³ per cell. Its symmetry is P-3 (147). The value obtained for the total DFT energy (no corrections) is -93.6 eV/cell.


No. 3
## Mg2AlAs (PBE)

Data for a relaxed Mg2AlAs crystal.

a b c (Å): 7.8466 7.8466 7.8466
angles (deg): 27.86 27.86 27.86
Atoms (fractional coordinates):
As: 0.7594 0.7594 0.7594
Mg: 0.0169 0.0169 0.0169
Mg: 0.2435 0.2435 0.2435
Al: 0.4802 0.4802 0.4802

## Properties
As for the volume: 93.1 Å³ per cell. The calculation puts the excess energy over the best structure of this formula in the dataset at 36 meV per atom. Its symmetry is R3m (160). The value obtained for the formation energy from the elements is -8 kJ per mole of atoms. The value obtained for the total DFT energy (no corrections) is -11.9 eV/cell.


No. 4
## Tm5Hg (PBE)

Data for a relaxed Tm5Hg crystal.

a b c (Å): 4.7411 4.7528 7.7804
angles (deg): 107.78 90.00 90.00
Atoms (fractional coordinates):
Tm: 0.5000 0.8317 0.6633
Tm: 0.5000 0.1683 0.3367
Tm: 0.0000 0.3374 0.6747
Tm: 0.0000 0.6626 0.3253
Tm: 0.5000 0.5000 0.0000
Hg: 0.0000 0.0000 0.0000

## Properties
As for the volume: 166.9 Å³ per cell. Its symmetry is Cmmm (65). The value obtained for the formation energy from the elements is -9 kJ per mole of atoms. The value obtained for the total DFT energy (no corrections) is -23.2 eV/cell.


No. 5
## LuRe2 (PBE)

Data for a relaxed LuRe2 crystal.

a b c (Å): 5.3667 5.3667 5.3667
angles (deg): 60.00 60.00 60.00
Atoms (fractional coordinates):
Lu: 0.0000 0.0000 0.0000
Lu: 0.2500 0.2500 0.2500
Re: 0.6250 0.6250 0.6250
Re: 0.6250 0.6250 0.1250
Re: 0.6250 0.1250 0.6250
Re: 0.1250 0.6250 0.6250

## Properties
As for the volume: 109.3 Å³ per cell. Its symmetry is Fd-3m (227). The value obtained for the formation energy from the elements is -26 kJ per mole of atoms. The value obtained for the total DFT energy (no corrections) is -60.4 eV/cell.


No. 6
## Cs2SnTe2 (PBE)

Data for a relaxed Cs2SnTe2 crystal.

a b c (Å): 8.7953 8.7953 5.7677
angles (deg): 90.00 90.00 90.00
Atoms (fractional coordinates):
Cs: 0.3549 0.1451 0.5000
Cs: 0.6451 0.8549 0.5000
Cs: 0.8549 0.3549 0.5000
Cs: 0.1451 0.6451 0.5000
Te: 0.6732 0.1732 0.0000
Te: 0.1732 0.3268 0.0000
Te: 0.3268 0.8268 0.0000
Te: 0.8268 0.6732 0.0000
Sn: 0.0000 0.0000 0.0000
Sn: 0.5000 0.5000 0.0000

## Properties
As for the volume: 446.2 Å³ per cell. The calculation puts the excess energy over the best structure of this formula in the dataset at 179 meV per atom. Its symmetry is P4/mbm (127). The value obtained for the total DFT energy (no corrections) is -29.3 eV/cell.


No. 7
## Ba4GaBi4 (PBE)

Data for a relaxed Ba4GaBi4 crystal.

a b c (Å): 7.3522 10.2290 10.2290
angles (deg): 90.00 90.00 90.00
Atoms (fractional coordinates):
Ba: 0.2961 0.7391 0.0002
Ba: 0.7039 0.9998 0.7391
Ba: 0.2039 0.2391 0.5002
Ba: 0.7961 0.5002 0.7609
Ba: 0.2961 0.2609 0.9998
Ba: 0.2039 0.7609 0.4998
Ba: 0.7039 0.0002 0.2609
Ba: 0.7961 0.4998 0.2391
Bi: 0.2910 0.5002 0.7349
Bi: 0.7090 0.2651 0.5002
Bi: 0.7910 0.2349 0.9998
Bi: 0.2090 0.9998 0.7651
Bi: 0.2090 0.0002 0.2349
Bi: 0.7910 0.7651 0.0002
Bi: 0.2910 0.4998 0.2651
Bi: 0.7090 0.7349 0.4998
Ga: 0.0000 0.0000 0.0000
Ga: 0.5000 0.5000 0.5000

## Properties
As for the volume: 769.3 Å³ per cell. Its symmetry is P4_2/nmc (137). The value obtained for the formation energy from the elements is -74 kJ per mole of atoms. The value obtained for the total DFT energy (no corrections) is -66.3 eV/cell.


No. 8
## Ac3Nd7Dy2 (PBE)

Data for a relaxed Ac3Nd7Dy2 crystal.

a b c (Å): 3.7990 5.8666 21.0503
angles (deg): 90.00 95.18 90.00
Atoms (fractional coordinates):
Nd: 0.2821 0.5000 0.5645
Nd: 0.4108 0.0000 0.8248
Nd: 0.0000 0.0000 0.0000
Nd: 0.7179 0.5000 0.4355
Nd: 0.5892 0.0000 0.1752
Nd: 0.0720 0.5000 0.1422
Nd: 0.9280 0.5000 0.8578
Dy: 0.6401 0.5000 0.2793
Dy: 0.3599 0.5000 0.7207
Ac: 0.8240 0.0000 0.6490
Ac: 0.5000 0.5000 0.0000
Ac: 0.1760 0.0000 0.3510

## Properties
As for the volume: 467.2 Å³ per cell. Its symmetry is P2/m (10). The value obtained for the formation energy from the elements is 21 kJ per mole of atoms. The value obtained for the total DFT energy (no corrections) is -52.3 eV/cell.


No. 9
## SrNi5As3 (PBE)

Data for a relaxed SrNi5As3 crystal.

a b c (Å): 6.4120 6.4120 11.9561
angles (deg): 90.00 90.00 145.80
Atoms (fractional coordinates):
As: 0.3791 0.6209 0.5404
As: 0.1126 0.8874 0.7500
As: 0.6209 0.3791 0.0404
As: 0.8874 0.1126 0.2500
As: 0.6209 0.3791 0.4596
As: 0.3791 0.6209 0.9596
Ni: 0.8068 0.1932 0.4331
Ni: 0.0000 0.0000 0.0000
Ni: 0.1932 0.8068 0.9331
Ni: 0.4518 0.5482 0.1448
Ni: 0.5482 0.4518 0.8552
Ni: 0.0000 0.0000 0.5000
Ni: 0.1932 0.8068 0.5669
Ni: 0.8068 0.1932 0.0669
Ni: 0.4518 0.5482 0.3552
Ni: 0.5482 0.4518 0.6448
Sr: 0.8355 0.1645 0.7500
Sr: 0.1645 0.8355 0.2500

## Properties
As for the volume: 276.3 Å³ per cell. Its symmetry is Cmcm (63). The value obtained for the formation energy from the elements is -50 kJ per mole of atoms. The value obtained for the total DFT energy (no corrections) is -98.5 eV/cell.


No. 10
## Ba2YMn (PBE)

Data for a relaxed Ba2YMn crystal.

a b c (Å): 6.0428 6.0428 4.2889
angles (deg): 90.00 90.00 90.00
Site moments in Bohr magnetons follow the coordinates.
Atoms (fractional coordinates):
Ba: 0.0000 0.0000 0.0000  -0.04
Ba: 0.5000 0.5000 0.0000  -0.04
Mn: 0.5000 0.0000 0.5000  4.16
Y: 0.0000 0.5000 0.5000  -0.10

## Properties
As for the volume: 156.6 Å³ per cell. The calculation puts the excess energy over the best structure of this formula in the dataset at 274 meV per atom. Its symmetry is P4/mmm (123). The value obtained for the formation energy from the elements is 55 kJ per mole of atoms. The value obtained for the total DFT energy (no corrections) is -17.2 eV/cell.


No. 11
## Pr2Si5Rh3 (PBE)

Data for a relaxed Pr2Si5Rh3 crystal.

a b c (Å): 5.8592 8.2856 8.2856
angles (deg): 74.18 69.29 69.29
Atoms (fractional coordinates):
Si: 0.5268 0.2232 0.2232
Si: 0.6068 0.7392 0.0472
Si: 0.8932 0.9528 0.2608
Si: 0.7500 0.5000 0.5000
Si: 0.9732 0.7768 0.7768
Si: 0.2500 0.5000 0.5000
Si: 0.0268 0.2232 0.2232
Si: 0.3932 0.2608 0.9528
Si: 0.4732 0.7768 0.7768
Si: 0.1068 0.0472 0.7392
Pr: 0.6308 0.1359 0.6025
Pr: 0.1308 0.6025 0.1359
Pr: 0.3692 0.8641 0.3975
Pr: 0.8692 0.3975 0.8641
Rh: 0.1387 0.2536 0.4691
Rh: 0.3613 0.5309 0.7464
Rh: 0.2500 0.0000 0.0000
Rh: 0.7500 0.0000 0.0000
Rh: 0.8613 0.7464 0.5309
Rh: 0.6387 0.4691 0.2536

## Properties
As for the volume: 346.9 Å³ per cell. Its symmetry is Ibam (72). The value obtained for the total DFT energy (no corrections) is -136.6 eV/cell.


No. 12
## Th4TcTe2C (PBE)

Data for a relaxed Th4TcTe2C crystal.

a b c (Å): 4.0715 7.0541 7.8757
angles (deg): 106.58 90.00 90.00
Atoms (fractional coordinates):
Th: 0.0000 0.2769 0.8105
Th: 0.5000 0.7483 0.8056
Th: 0.5000 0.2517 0.1944
Th: 0.0000 0.7231 0.1895
Te: 0.5000 0.0000 0.5000
Te: 0.0000 0.5000 0.5000
C: 0.5000 0.5000 0.0000
Tc: 0.0000 0.0000 0.0000

## Properties
As for the volume: 216.8 Å³ per cell. Its symmetry is P2/m (10). The value obtained for the total DFT energy (no corrections) is -60.8 eV/cell.


No. 13
## Ca2ScTl (PBE)

Data for a relaxed Ca2ScTl crystal.

a b c (Å): 3.5719 4.5815 7.4305
angles (deg): 90.00 90.00 90.00
Atoms (fractional coordinates):
Sc: 0.0000 0.0000 0.5337
Ca: 0.0000 0.0000 0.9672
Ca: 0.5000 0.5000 0.2770
Tl: 0.5000 0.5000 0.7221

## Properties
As for the volume: 121.6 Å³ per cell. The calculation puts the excess energy over the best structure of this formula in the dataset at 55 meV per atom. Its symmetry is Pmm2 (25). The value obtained for the formation energy from the elements is -6 kJ per mole of atoms. The value obtained for the total DFT energy (no corrections) is -12.9 eV/cell.


No. 14
## Pm5Pr2Tm (PBE)

Data for a relaxed Pm5Pr2Tm crystal.

a b c (Å): 5.1398 7.2885 14.6091
angles (deg): 90.00 90.00 90.00
Atoms (fractional coordinates):
Pm: 0.5000 0.7508 0.1243
Pm: 0.5000 0.7492 0.6243
Pm: 0.0000 0.9987 0.7488
Pm: 0.0000 0.5013 0.2488
Pm: 0.5000 0.2492 0.8757
Pm: 0.0000 0.0013 0.2512
Pm: 0.0000 0.4987 0.7512
Pm: 0.5000 0.2508 0.3757
Pm: 0.0000 0.5000 0.5000
Pm: 0.0000 0.0000 0.0000
Pr: 0.5000 0.2517 0.1240
Pr: 0.5000 0.7483 0.8760
Pr: 0.5000 0.2483 0.6240
Pr: 0.5000 0.7517 0.3760
Tm: 0.0000 0.0000 0.5000
Tm: 0.0000 0.5000 0.0000

## Properties
As for the volume: 547.3 Å³ per cell. Its symmetry is Pbam (55). The value obtained for the formation energy from the elements is 1 kJ per mole of atoms. The value obtained for the total DFT energy (no corrections) is -75.3 eV/cell.


No. 15
## ScTeAsSe2 (PBE)

Data for a relaxed ScTeAsSe2 crystal.

a b c (Å): 5.0630 5.0630 5.3227
angles (deg): 90.00 90.00 90.00
Atoms (fractional coordinates):
As: 0.0000 0.0000 0.5000
Te: 0.5000 0.5000 0.5000
Se: 0.5000 0.0000 0.0000
Se: 0.0000 0.5000 0.0000
Sc: 0.0000 0.0000 0.0000

## Properties
As for the volume: 136.4 Å³ per cell. The calculation puts the excess energy over the best structure of this formula in the dataset at 0 meV per atom. Its symmetry is P4/mmm (123). The value obtained for the total DFT energy (no corrections) is -21.4 eV/cell.


No. 16
## Ca3TlPb2 (PBE)

Data for a relaxed Ca3TlPb2 crystal.

a b c (Å): 5.5411 5.5411 6.8115
angles (deg): 90.00 90.00 120.00
Atoms (fractional coordinates):
Ca: 0.3333 0.6667 0.1768
Ca: 0.0000 0.0000 0.5000
Ca: 0.6667 0.3333 0.8232
Tl: 0.0000 0.0000 0.0000
Pb: 0.6667 0.3333 0.3174
Pb: 0.3333 0.6667 0.6826

## Properties
As for the volume: 181.1 Å³ per cell. The calculation puts the excess energy over the best structure of this formula in the dataset at 0 meV per atom. Its symmetry is P-3m1 (164). The value obtained for the formation energy from the elements is -49 kJ per mole of atoms. The value obtained for the total DFT energy (no corrections) is -18.8 eV/cell.


No. 17
## YMg3In (PBE)

Data for a relaxed YMg3In crystal.

a b c (Å): 5.2861 5.2861 5.2861
angles (deg): 90.00 90.00 90.00
Atoms (fractional coordinates):
Mg: 0.0000 0.0000 0.5000
Mg: 0.5000 0.0000 0.0000
Mg: 0.0000 0.5000 0.0000
Y: 0.5000 0.5000 0.5000
In: 0.0000 0.0000 0.0000

## Properties
As for the volume: 147.7 Å³ per cell. The calculation puts the excess energy over the best structure of this formula in the dataset at 0 meV per atom. Its symmetry is Pm-3m (221). The value obtained for the formation energy from the elements is 33 kJ per mole of atoms. The value obtained for the total DFT energy (no corrections) is -12.3 eV/cell.


No. 18
## PrSbPb2O6 (PBE)

Data for a relaxed PrSbPb2O6 crystal.

a b c (Å): 6.0020 6.0701 8.5507
angles (deg): 90.00 89.76 90.00
Atoms (fractional coordinates):
Pb: 0.9953 0.0313 0.7535
Pb: 0.5047 0.5313 0.7465
Pb: 0.4953 0.4687 0.2535
Pb: 0.0047 0.9687 0.2465
O: 0.5888 0.0207 0.2712
O: 0.2274 0.1856 0.4544
O: 0.8239 0.7787 0.9579
O: 0.9112 0.5207 0.2288
O: 0.6761 0.2787 0.5421
O: 0.7726 0.8144 0.5456
O: 0.1761 0.2213 0.0421
O: 0.0888 0.4793 0.7712
O: 0.2726 0.6856 0.0456
O: 0.7274 0.3144 0.9544
O: 0.3239 0.7213 0.4579
O: 0.4112 0.9793 0.7288
Pr: 0.5000 0.0000 0.0000
Pr: 0.0000 0.5000 0.5000
Sb: 0.5000 0.0000 0.5000
Sb: 0.0000 0.5000 0.0000

## Properties
As for the volume: 311.5 Å³ per cell. Its symmetry is P2_1/c (14). The value obtained for the total DFT energy (no corrections) is -128.1 eV/cell.


No. 19
## ZnPdRh (PBE)

Data for a relaxed ZnPdRh crystal.

a b c (Å): 5.3981 3.9530 8.4200
angles (deg): 90.00 104.69 90.00
Atoms (fractional coordinates):
Pd: 0.3248 0.5000 0.1682
Pd: 0.6752 0.0000 0.3318
Pd: 0.6752 0.5000 0.8318
Pd: 0.3248 0.0000 0.6682
Zn: 0.8236 0.0000 0.6621
Zn: 0.1764 0.5000 0.8379
Zn: 0.1764 0.0000 0.3379
Zn: 0.8236 0.5000 0.1621
Rh: 0.0000 0.5000 0.5000
Rh: 0.5000 0.0000 0.0000
Rh: 0.5000 0.5000 0.5000
Rh: 0.0000 0.0000 0.0000

## Properties
As for the volume: 173.8 Å³ per cell. The calculation puts the excess energy over the best structure of this formula in the dataset at 38 meV per atom. Its symmetry is C2/m (12). The value obtained for the formation energy from the elements is -22 kJ per mole of atoms. The value obtained for the total DFT energy (no corrections) is -58.0 eV/cell.


No. 20
## CoRuCl3 (PBE)

Data for a relaxed CoRuCl3 crystal.

a b c (Å): 11.9049 7.8358 7.8358
angles (deg): 93.60 128.57 51.43
Site moments in Bohr magnetons follow the coordinates.
Atoms (fractional coordinates):
Cl: 0.8863 0.7526 0.7602  0.03
Cl: 0.1316 0.5879 0.5986  0.08
Cl: 0.1242 0.9055 0.9268  0.03
Cl: 0.3758 0.4268 0.4055  0.03
Cl: 0.8684 0.4121 0.4014  0.08
Cl: 0.6242 0.5732 0.5945  0.03
Cl: 0.8758 0.0945 0.0732  0.03
Cl: 0.1137 0.2474 0.2398  0.03
Cl: 0.3684 0.0986 0.0879  0.08
Cl: 0.3863 0.7398 0.7474  0.04
Cl: 0.6137 0.2602 0.2526  0.04
Cl: 0.6316 0.9014 0.9121  0.08
Ru: 0.2500 0.8372 0.3372  -0.11
Ru: 0.7500 0.5049 0.0049  0.00
Ru: 0.2500 0.4951 0.9951  0.00
Ru: 0.7500 0.1628 0.6628  -0.11
Co: 0.6881 0.7122 0.4533  1.86
Co: 0.8119 0.9533 0.2122  1.90
Co: 0.3119 0.2878 0.5467  1.86
Co: 0.1881 0.0467 0.7878  1.90

## Properties
As for the volume: 377.9 Å³ per cell. The calculation puts the excess energy over the best structure of this formula in the dataset at 148 meV per atom. Its symmetry is C2/c (15). The value obtained for the total DFT energy (no corrections) is -89.7 eV/cell.